# 1
The following is a DFT calculation (SCAN) of a PBEsol-optimized structure of ReTcRu2F.

a b c (Å): 4.651 4.651 4.687
angles (deg): 90.00 90.00 90.00
Positions (direct):
Re  0.000  0.000  0.000
Ru  0.000  0.500  0.000
Ru  0.500  0.000  0.000
F  0.500  0.500  0.500
Tc  0.000  0.000  0.500

Properties
energy relative to the elements, uncorrected: 1.59 eV/atom

***

# 2
The following is a DFT calculation (SCAN) of a PBEsol-optimized structure of ReTc2RuF.

a b c (Å): 4.654 4.666 4.666
angles (deg): 90.00 90.00 90.00
Positions (direct):
Re  0.000  0.000  0.000
Tc  0.000  0.500  0.000
Tc  0.000  0.000  0.500
F  0.500  0.500  0.500
Ru  0.500  0.000  0.000

Properties
energy relative to the elements, uncorrected: 1.64 eV/atom

***

# 3
The following is a DFT calculation (SCAN) of a PBEsol-optimized structure of ReS3F.

a b c (Å): 4.521 4.521 4.521
angles (deg): 90.00 90.00 90.00
Positions (direct):
S  0.500  0.000  0.000
S  0.000  0.500  0.000
S  0.000  0.000  0.500
F  0.500  0.500  0.500
Re  0.000  0.000  0.000

Properties
energy relative to the elements, uncorrected: 0.16 eV/atom

***

# 4
The following is a DFT calculation (SCAN) of a PBEsol-optimized structure of Re2SF.

a b c (Å): 4.063 4.063 4.063
angles (deg): 60.00 60.00 60.00
Positions (direct):
Re  0.750  0.750  0.750
Re  0.250  0.250  0.250
F  0.000  0.000  0.000
S  0.500  0.500  0.500

Properties
energy relative to the elements, uncorrected: 0.52 eV/atom

***

# 5
The following is a DFT calculation (SCAN) of a PBEsol-optimized structure of Sc3ReF.

a b c (Å): 5.030 5.030 5.030
angles (deg): 90.00 90.00 90.00
Positions (direct):
Sc  0.000  0.500  0.000
Sc  0.500  0.000  0.000
Sc  0.000  0.000  0.500
F  0.500  0.500  0.500
Re  0.000  0.000  0.000

Properties
energy above the lowest structure with this stoichiometry: 4.275 eV/f.u.
energy relative to the elements, uncorrected: -0.03 eV/atom

***

# 6
The following is a DFT calculation (SCAN) of a PBEsol-optimized structure of Sc3ReF.

a b c (Å): 4.322 4.322 4.322
angles (deg): 90.00 90.00 90.00
Positions (direct):
Re  0.500  0.500  0.500
Sc  0.000  0.500  0.000
Sc  0.000  0.000  0.500
Sc  0.500  0.000  0.000
F  0.000  0.000  0.000

Properties
energy above the lowest structure with this stoichiometry: 0.000 eV/f.u.
energy relative to the elements, uncorrected: -0.88 eV/atom

***

# 7
The following is a DFT calculation (SCAN) of a PBEsol-optimized structure of ZrScRe2F.

a b c (Å): 4.657 4.657 5.560
angles (deg): 90.00 90.00 90.00
Positions (direct):
Zr  0.000  0.000  0.000
F  0.500  0.500  0.500
Re  0.500  0.000  0.000
Re  0.000  0.500  0.000
Sc  0.000  0.000  0.500

Properties
energy relative to the elements, uncorrected: 1.83 eV/atom

***

# 8
The following is a DFT calculation (SCAN) of a PBEsol-optimized structure of Zr2ScReF.

a b c (Å): 4.372 4.461 4.461
angles (deg): 90.00 90.00 90.00
Positions (direct):
Sc  0.500  0.500  0.500
Zr  0.000  0.500  0.000
Zr  0.000  0.000  0.500
F  0.000  0.000  0.000
Re  0.500  0.000  0.000

Properties
energy relative to the elements, uncorrected: -0.26 eV/atom

***

# 9
The following is a DFT calculation (SCAN) of a PBEsol-optimized structure of ReSeF2.

a b c (Å): 3.659 3.659 8.311
angles (deg): 102.72 102.72 90.00
Positions (direct):
Re  0.250  0.750  0.500
Re  0.000  0.000  0.000
Se  0.500  0.500  0.000
Se  0.750  0.250  0.500
F  0.310  0.875  0.250
F  0.940  0.375  0.250
F  0.625  0.690  0.750
F  0.125  0.060  0.750

Properties
energy relative to the elements, uncorrected: -0.26 eV/atom

***

# 10
The following is a DFT calculation (SCAN) of a PBEsol-optimized structure of Zn2ReSnF.

a b c (Å): 4.262 4.262 4.336
angles (deg): 90.00 90.00 90.00
Positions (direct):
Re  0.000  0.000  0.500
Zn  0.000  0.500  0.000
Zn  0.500  0.000  0.000
F  0.000  0.000  0.000
Sn  0.500  0.500  0.500

Properties
energy relative to the elements, uncorrected: 0.48 eV/atom

***

# 11
The following is a DFT calculation (SCAN) of a PBEsol-optimized structure of Sr2TlReF.

a b c (Å): 4.244 5.199 5.199
angles (deg): 90.00 90.00 90.00
Positions (direct):
F  0.000  0.000  0.000
Sr  0.000  0.500  0.000
Sr  0.000  0.000  0.500
Re  0.500  0.000  0.000
Tl  0.500  0.500  0.500

Properties
energy relative to the elements, uncorrected: -0.28 eV/atom

***

# 12
The following is a DFT calculation (SCAN) of a PBEsol-optimized structure of TaReF3.

a b c (Å): 4.171 4.171 4.171
angles (deg): 90.00 90.00 90.00
Positions (direct):
Ta  0.500  0.500  0.500
Re  0.000  0.000  0.000
F  0.000  0.500  0.000
F  0.500  0.000  0.000
F  0.000  0.000  0.500

Properties
energy above the lowest structure with this stoichiometry: 3.308 eV/f.u.
energy relative to the elements, uncorrected: 0.31 eV/atom

***

# 13
The following is a DFT calculation (SCAN) of a PBEsol-optimized structure of TaReF3.

a b c (Å): 4.219 4.219 4.219
angles (deg): 90.00 90.00 90.00
Positions (direct):
F  0.000  0.500  0.000
F  0.500  0.000  0.000
F  0.000  0.000  0.500
Re  0.500  0.500  0.500
Ta  0.000  0.000  0.000

Properties
energy above the lowest structure with this stoichiometry: 0.000 eV/f.u.
energy relative to the elements, uncorrected: -0.35 eV/atom

***

# 14
The following is a DFT calculation (SCAN) of a PBEsol-optimized structure of Ta2ReWF.

a b c (Å): 4.844 4.844 4.692
angles (deg): 90.00 90.00 90.00
Positions (direct):
Re  0.000  0.000  0.000
F  0.500  0.500  0.500
W  0.000  0.000  0.500
Ta  0.500  0.000  0.000
Ta  0.000  0.500  0.000

Properties
energy relative to the elements, uncorrected: 1.52 eV/atom

***

# 15
The following is a DFT calculation (SCAN) of a PBEsol-optimized structure of Re3TcF.

a b c (Å): 4.638 4.638 4.638
angles (deg): 90.00 90.00 90.00
Positions (direct):
Tc  0.000  0.000  0.000
F  0.500  0.500  0.500
Re  0.500  0.000  0.000
Re  0.000  0.000  0.500
Re  0.000  0.500  0.000

Properties
energy relative to the elements, uncorrected: 2.20 eV/atom

***

# 16
The following is a DFT calculation (SCAN) of a PBEsol-optimized structure of ReTeF2.

a b c (Å): 2.876 2.876 9.886
angles (deg): 81.64 81.64 60.00
Positions (direct):
Re  0.000  0.000  0.000
Te  0.500  0.500  0.500
F  0.064  0.064  0.807
F  0.936  0.936  0.193

Properties
energy relative to the elements, uncorrected: -0.78 eV/atom

***

# 17
The following is a DFT calculation (SCAN) of a PBEsol-optimized structure of Tl3ReF.

a b c (Å): 4.848 4.848 4.848
angles (deg): 90.00 90.00 90.00
Positions (direct):
Tl  0.000  0.500  0.000
Tl  0.000  0.000  0.500
Tl  0.500  0.000  0.000
F  0.000  0.000  0.000
Re  0.500  0.500  0.500

Properties
energy relative to the elements, uncorrected: 0.55 eV/atom

***

# 18
The following is a DFT calculation (SCAN) of a PBEsol-optimized structure of TlRe2F.

a b c (Å): 4.431 4.431 4.431
angles (deg): 60.00 60.00 60.00
Positions (direct):
Re  0.750  0.750  0.750
Re  0.250  0.250  0.250
F  0.000  0.000  0.000
Tl  0.500  0.500  0.500

Properties
energy relative to the elements, uncorrected: 1.34 eV/atom

***

# 19
The following is a DFT calculation (SCAN) of a PBEsol-optimized structure of ReWF2.

a b c (Å): 4.142 4.142 4.142
angles (deg): 60.00 60.00 60.00
Positions (direct):
F  0.750  0.750  0.750
F  0.250  0.250  0.250
Re  0.500  0.500  0.500
W  0.000  0.000  0.000

Properties
energy relative to the elements, uncorrected: 1.03 eV/atom

***

# 20
The following is a DFT calculation (SCAN) of a PBEsol-optimized structure of Y2Re2F.

a b c (Å): 3.593 3.593 8.364
angles (deg): 102.40 102.40 90.00
Positions (direct):
F  0.000  0.000  0.000
Re  0.750  0.250  0.500
Re  0.250  0.750  0.500
Y  0.394  0.394  0.788
Y  0.606  0.606  0.212

Properties
energy relative to the elements, uncorrected: -0.50 eV/atom